# 1
The following is a DFT calculation (GGA-PBE) of a relaxed structure of LiTeSN2.

Lattice parameters (Å, degrees): 3.9782 3.9782 6.0020 90.00 90.00 90.00
Last column: nearest neighbours and their distance in Å.
Space group P4/mmm (No. 123)
Asymmetric unit:
1 Li 0.0000 0.0000 0.0000 (multiplicity 1)  4 N 1.99
2 Te 0.0000 0.0000 0.5000 (multiplicity 1)  4 S 2.81, 2 Li 3.00
3 S 0.5000 0.5000 0.5000 (multiplicity 1)  4 Te 2.81
4 N 0.0000 0.5000 0.0000 (multiplicity 2)  2 Li 1.99

Summary:
polymorph energy (0 for the lowest one)	725	meV per atom
mass density	3.40	g/cm3
raw formation energy	1.6967	eV/atom
calculated volume	95.0	Å³/f.u.
DFT total energy	-3.470	eV/atom

---

# 2
The following is a DFT calculation (GGA-PBE) of a relaxed structure of LiTeS2N.

Lattice parameters (Å, degrees): 5.1024 5.1024 4.0031 90.00 90.00 90.00
Last column: nearest neighbours and their distance in Å.
Space group P4/mmm (No. 123)
Asymmetric unit:
1 Li 0.0000 0.0000 0.0000 (multiplicity 1)  8 S 3.24, 4 N 3.61
2 Te 0.5000 0.5000 0.5000 (multiplicity 1)  2 N 2.00
3 S 0.0000 0.5000 0.5000 (multiplicity 2)  2 Te 2.55
4 N 0.5000 0.5000 0.0000 (multiplicity 1)  2 Te 2.00

Summary:
polymorph energy (0 for the lowest one)	0	meV per atom
mass density	3.39	g/cm3
raw formation energy	0.5852	eV/atom
calculated volume	104.2	Å³/f.u.
DFT total energy	-3.742	eV/atom

---

The highest calculated volume belongs to which entry?
LiTeS2N

---

The highest raw formation energy belongs to which entry?
LiTeSN2

---

The lowest mass density belongs to which entry?
LiTeS2N